[1]
Density functional theory data (GGA-PBE) for a relaxed structure of Si2PbSe.

a b c (Å): 11.700 3.821 5.118
angles (deg): 90.00 109.76 90.00
Space group C2/m (No. 12)
One atom of each set of equivalent atoms:
Si (0.197, 0.000, 0.389) (multiplicity 4)
Pb (0.000, 0.500, 0.000) (multiplicity 2)
Se (0.000, 0.000, 0.500) (multiplicity 2)

Output
energy relative to the lowest polymorph listed for this composition	218	meV per atom
crystal system	monoclinic

[2]
Density functional theory data (GGA-PBE) for a relaxed structure of Si2PbSe.

a b c (Å): 3.439 5.925 8.873
angles (deg): 90.00 90.00 90.00
Space group Cmmm (No. 65)
One atom of each set of equivalent atoms:
Si (0.000, 0.000, 0.211) (multiplicity 4)
Pb (0.000, 0.500, 0.500) (multiplicity 2)
Se (0.000, 0.500, 0.000) (multiplicity 2)

Output
energy relative to the lowest polymorph listed for this composition	484	meV per atom
crystal system	orthorhombic

[3]
Density functional theory data (GGA-PBE) for a relaxed structure of Si2PbSe.

a b c (Å): 3.717 3.717 6.414
angles (deg): 90.00 90.00 90.00
Space group P4/mmm (No. 123)
One atom of each set of equivalent atoms:
Si (0.000, 0.000, 0.188) (multiplicity 2)
Pb (0.500, 0.500, 0.500) (multiplicity 1)
Se (0.500, 0.500, 0.000) (multiplicity 1)

Output
energy relative to the lowest polymorph listed for this composition	355	meV per atom
crystal system	tetragonal

[4]
Density functional theory data (GGA-PBE) for a relaxed structure of SiPbSe2.

a b c (Å): 7.061 4.072 7.284
angles (deg): 90.00 108.76 90.00
Space group C2/m (No. 12)
One atom of each set of equivalent atoms:
Si (0.000, 0.000, 0.000) (multiplicity 2)
Pb (0.000, 0.500, 0.500) (multiplicity 2)
Se (0.237, 0.500, 0.212) (multiplicity 4)

Output
energy relative to the lowest polymorph listed for this composition	34	meV per atom
crystal system	monoclinic

[5]
Density functional theory data (GGA-PBE) for a relaxed structure of Si2PbSe.

a b c (Å): 3.823 3.467 16.136
angles (deg): 90.00 90.00 90.00
Space group Amm2 (No. 38)
One atom of each set of equivalent atoms:
Si (0.000, 0.000, 0.000) (multiplicity 2)
Si (0.500, 0.000, 0.084) (multiplicity 2)
Pb (0.500, 0.000, 0.723) (multiplicity 2)
Se (0.000, 0.000, 0.404) (multiplicity 2)

Output
energy relative to the lowest polymorph listed for this composition	0	meV per atom
crystal system	orthorhombic

[6]
Density functional theory data (GGA-PBE) for a relaxed structure of SiPb2Se2.

a b c (Å): 5.080 5.080 12.386
angles (deg): 90.00 90.00 90.00
Space group I4/mmm (No. 139)
One atom of each set of equivalent atoms:
Si (0.000, 0.000, 0.000) (multiplicity 2)
Pb (0.000, 0.500, 0.250) (multiplicity 4)
Se (0.000, 0.000, 0.377) (multiplicity 4)

Output
energy relative to the lowest polymorph listed for this composition	472	meV per atom
crystal system	tetragonal

[7]
Density functional theory data (GGA-PBE) for a relaxed structure of Si2PbSe.

a b c (Å): 4.105 4.105 10.460
angles (deg): 90.00 90.00 90.00
Space group I-4m2 (No. 119)
One atom of each set of equivalent atoms:
Si (0.000, 0.000, 0.000) (multiplicity 2)
Si (0.000, 0.500, 0.250) (multiplicity 2)
Pb (0.000, 0.500, 0.750) (multiplicity 2)
Se (0.000, 0.000, 0.500) (multiplicity 2)

Output
energy relative to the lowest polymorph listed for this composition	500	meV per atom
crystal system	tetragonal

[8]
Density functional theory data (GGA-PBE) for a relaxed structure of SiPb2Se5.

a b c (Å): 9.590 7.644 7.499
angles (deg): 90.00 119.71 90.00
Space group Cm (No. 8)
One atom of each set of equivalent atoms:
Si (0.000, 0.000, 0.000) (multiplicity 2)
Pb (0.382, 0.500, 0.409) (multiplicity 2)
Pb (0.418, 0.000, 0.911) (multiplicity 2)
Se (0.052, 0.227, 0.235) (multiplicity 4)
Se (0.108, 0.188, 0.801) (multiplicity 4)
Se (0.226, 0.500, 0.742) (multiplicity 2)

Output
crystal system	monoclinic

Respective formation energy (no corrections) values: 0.28; 0.55; 0.42; -0.20; 0.06; 0.49; 0.56; -0.29 eV per atom.